The following is a meta-GGA SCAN calculation of TlBPCl2 at its PBEsol-relaxed geometry, from the Alexandria database.

abc: 5.2800 5.2800 5.1673
angles: 90.00 90.00 90.00
Atoms (fractional coordinates):
Tl 0.0000 0.0000 0.0000
B 0.5000 0.5000 0.5000
P 0.0000 0.0000 0.5000
Cl 0.0000 0.5000 0.0000
Cl 0.5000 0.0000 0.0000

* VASP energy: -20.080 eV per atom
* total moment: 0.2669 μB/atom
* SG: P4/mmm, No. 123

***

The following is a meta-GGA SCAN calculation of B2PbCl at its PBEsol-relaxed geometry, from the Alexandria database.

abc: 5.1304 5.1304 11.2644
angles: 90.00 90.00 90.00
Atoms (fractional coordinates):
B 0.2378 0.2500 0.1250
B 0.2500 0.7378 0.3750
B 0.2500 0.7622 0.8750
B 0.2622 0.2500 0.6250
B 0.7378 0.7500 0.6250
B 0.7500 0.2378 0.8750
B 0.7500 0.2622 0.3750
B 0.7622 0.7500 0.1250
Pb 0.0000 0.0000 0.5000
Pb 0.0000 0.5000 0.7500
Pb 0.5000 0.0000 0.2500
Pb 0.5000 0.5000 0.0000
Cl 0.0000 0.0000 0.0000
Cl 0.0000 0.5000 0.2500
Cl 0.5000 0.0000 0.7500
Cl 0.5000 0.5000 0.5000

* VASP energy: -23.264 eV per atom
* total moment: 0.2455 μB/atom
* SG: I-42d, No. 122
* energy above the most stable polymorph in this dataset: 0.00 eV per formula unit

***

The following is a meta-GGA SCAN calculation of B2PbCl at its PBEsol-relaxed geometry, from the Alexandria database.

abc: 6.3666 6.3666 6.3666
angles: 90.00 90.00 90.00
Atoms (fractional coordinates):
B 0.2500 0.2500 0.2500
B 0.2500 0.2500 0.7500
B 0.2500 0.7500 0.2500
B 0.2500 0.7500 0.7500
B 0.7500 0.2500 0.2500
B 0.7500 0.2500 0.7500
B 0.7500 0.7500 0.2500
B 0.7500 0.7500 0.7500
Pb 0.0000 0.0000 0.0000
Pb 0.0000 0.5000 0.5000
Pb 0.5000 0.0000 0.5000
Pb 0.5000 0.5000 0.0000
Cl 0.0000 0.0000 0.5000
Cl 0.0000 0.5000 0.0000
Cl 0.5000 0.0000 0.0000
Cl 0.5000 0.5000 0.5000

* VASP energy: -22.816 eV per atom
* total moment: 0.0000 μB/atom
* SG: Fm-3m, No. 225
* energy above the most stable polymorph in this dataset: 1.79 eV per formula unit

***

The following is a meta-GGA SCAN calculation of BPbSCl2 at its PBEsol-relaxed geometry, from the Alexandria database.

abc: 5.3189 5.3189 5.1261
angles: 90.00 90.00 90.00
Atoms (fractional coordinates):
B 0.0000 0.0000 0.0000
Pb 0.5000 0.5000 0.5000
S 0.5000 0.5000 0.0000
Cl 0.0000 0.5000 0.5000
Cl 0.5000 0.0000 0.5000

* VASP energy: -21.045 eV per atom
* total moment: 0.0000 μB/atom
* SG: P4/mmm, No. 123

***

The following is a meta-GGA SCAN calculation of BPbS2Cl at its PBEsol-relaxed geometry, from the Alexandria database.

abc: 4.3148 4.3148 4.5794
angles: 90.00 90.00 90.00
Atoms (fractional coordinates):
B 0.0000 0.0000 0.0000
Pb 0.5000 0.5000 0.5000
S 0.0000 0.5000 0.0000
S 0.5000 0.0000 0.0000
Cl 0.0000 0.0000 0.5000

* VASP energy: -21.932 eV per atom
* total moment: 0.0000 μB/atom
* SG: P4/mmm, No. 123

***

The following is a meta-GGA SCAN calculation of Si2BPbCl at its PBEsol-relaxed geometry, from the Alexandria database.

abc: 4.1089 4.1089 5.8760
angles: 90.00 90.00 90.00
Atoms (fractional coordinates):
Si 0.0000 0.5000 0.0000
Si 0.5000 0.0000 0.0000
B 0.0000 0.0000 0.0000
Pb 0.0000 0.0000 0.5000
Cl 0.5000 0.5000 0.5000

* VASP energy: -21.639 eV per atom
* total moment: 0.0000 μB/atom
* SG: P4/mmm, No. 123

***

The following is a meta-GGA SCAN calculation of Sr2BPbCl at its PBEsol-relaxed geometry, from the Alexandria database.

abc: 5.5222 5.5222 5.3267
angles: 90.00 90.00 90.00
Atoms (fractional coordinates):
Sr 0.0000 0.5000 0.0000
Sr 0.5000 0.0000 0.0000
B 0.0000 0.0000 0.5000
Pb 0.5000 0.5000 0.5000
Cl 0.5000 0.5000 0.0000

* VASP energy: -26.880 eV per atom
* total moment: 0.0000 μB/atom
* SG: P4/mmm, No. 123

***

The following is a meta-GGA SCAN calculation of ZrBPb2Cl at its PBEsol-relaxed geometry, from the Alexandria database.

abc: 5.6619 5.6619 4.7852
angles: 90.00 90.00 90.00
Atoms (fractional coordinates):
Zr 0.0000 0.0000 0.0000
B 0.5000 0.5000 0.5000
Pb 0.0000 0.5000 0.0000
Pb 0.5000 0.0000 0.0000
Cl 0.0000 0.0000 0.5000

* VASP energy: -38.701 eV per atom
* total moment: 0.0000 μB/atom
* SG: P4/mmm, No. 123

***

Q: Which value of total moment does entry 7 give?
A: 0.0000 μB/atom

***

Q: Among the records above, which one has the highest total moment?
A: TlBPCl2